No. 1
Entry from Alexandria: an optimized crystal structure of Na3SiOs (PBE-GGA).

Geometry as POSCAR:
```
Na3SiOs
1.0
5.478 0.000 0.000
0.000 5.478 0.000
0.000 0.000 5.478
Na Si Os
3 1 1
Cartesian
0.000 2.739 0.000
0.000 0.000 2.739
2.739 0.000 0.000
0.000 0.000 0.000
2.739 2.739 2.739
```

Properties
Electronic total energy = -2.523 eV per atom
Energy relative to the elements, uncorrected = 154 kJ/mol of atoms
Space group = Pm-3m
Density = 2.90 g/cm3
Crystal system = cubic
Distance to the lowest polymorph of the same formula = 0.000 eV/atom

No. 2
Entry from Alexandria: an optimized crystal structure of Na2SiOs (PBE-GGA).

Geometry as POSCAR:
```
Na2SiOs
1.0
-6.170 -0.687 5.187
-4.003 -4.544 -5.364
-4.093 -4.580 0.834
Na Si Os
4 2 2
Cartesian
-5.329 -2.137 2.737
-4.347 -4.077 -2.452
-6.917 -5.434 0.515
-11.938 -7.975 0.515
-5.087 -2.616 -0.088
-6.591 -5.870 -2.309
0.000 0.000 0.000
-7.675 -3.941 2.966
```

Properties
Electronic total energy = -4.009 eV per atom
Energy relative to the elements, uncorrected = 79 kJ/mol of atoms
Space group = I-42d
Density = 5.62 g/cm3
Crystal system = tetragonal

No. 3
Entry from Alexandria: an optimized crystal structure of NaVSi2Os (PBE-GGA).

Geometry as POSCAR:
```
NaVSi2Os
1.0
-0.271 -3.389 -2.862
2.626 -2.429 2.628
-3.572 -1.533 2.153
Na Si Os V
1 2 1 1
Cartesian
1.313 -1.214 1.314
-1.786 -0.766 1.076
-0.135 -1.694 -1.431
-0.609 -3.675 0.959
0.000 0.000 0.000
```

Properties
Electronic total energy = -4.886 eV per atom
Energy relative to the elements, uncorrected = 156 kJ/mol of atoms
Space group = P4/mmm
Density = 6.07 g/cm3
Crystal system = tetragonal

No. 4
Entry from Alexandria: an optimized crystal structure of NaZrSi2Os (PBE-GGA).

Geometry as POSCAR:
```
NaZrSi2Os
1.0
4.842 0.000 0.000
0.000 4.843 0.000
0.000 0.000 4.842
Na Si Os Zr
1 2 1 1
Cartesian
0.000 2.421 0.000
0.000 0.000 2.421
2.421 0.000 0.000
2.421 2.421 2.421
0.000 0.000 0.000
```

Properties
Electronic total energy = -4.387 eV per atom
Energy relative to the elements, uncorrected = 193 kJ/mol of atoms
Space group = P4/mmm
Density = 5.27 g/cm3
Crystal system = tetragonal

No. 5
Entry from Alexandria: an optimized crystal structure of NaSm2Os (PBE-GGA).

Geometry as POSCAR:
```
NaSm2Os
1.0
3.460 0.000 0.000
0.000 3.460 0.000
0.000 0.000 9.674
Na Os Sm
1 1 2
Cartesian
1.730 1.730 4.837
1.730 1.730 0.000
0.000 0.000 7.980
0.000 0.000 1.695
```

Properties
Electronic total energy = -5.546 eV per atom
Space group = P4/mmm
Density = 7.37 g/cm3
Crystal system = tetragonal
Distance to the lowest polymorph of the same formula = 0.000 eV/atom
Energy relative to the elements = -0.0494 eV/atom

No. 6
Entry from Alexandria: an optimized crystal structure of NaSm2Os (PBE-GGA).

Geometry as POSCAR:
```
NaSm2Os
1.0
-1.131 3.116 2.460
-3.981 1.047 0.307
-2.711 -4.484 7.898
Na Os Sm
1 1 2
Cartesian
-3.911 -0.160 5.332
0.000 0.000 0.000
-5.958 -0.773 8.631
-1.864 0.453 2.033
```

Properties
Electronic total energy = -5.420 eV per atom
Space group = R-3m
Density = 6.30 g/cm3
Crystal system = trigonal
Distance to the lowest polymorph of the same formula = 0.126 eV/atom
Energy relative to the elements = 0.0769 eV/atom

No. 7
Entry from Alexandria: an optimized crystal structure of NaSn2Os (PBE-GGA).

Geometry as POSCAR:
```
NaSn2Os
1.0
-3.570 4.072 2.916
-0.693 -3.948 4.665
4.132 3.067 7.263
Na Os Sn
2 2 4
Cartesian
-2.131 0.062 3.791
0.654 -0.410 7.860
0.000 0.000 0.000
-0.785 3.600 6.985
-1.906 3.527 4.729
-2.795 2.171 7.505
1.621 3.034 7.478
-0.059 5.669 8.228
```

Properties
Electronic total energy = -4.616 eV per atom
Space group = I-42d
Density = 5.09 g/cm3
Crystal system = tetragonal
Energy relative to the elements = 0.5222 eV/atom

No. 8
Entry from Alexandria: an optimized crystal structure of NaSn3Os (PBE-GGA).

Geometry as POSCAR:
```
NaSn3Os
1.0
5.179 0.000 0.000
0.000 5.179 0.000
0.000 0.000 5.179
Na Os Sn
1 1 3
Cartesian
0.000 0.000 0.000
2.589 2.589 2.589
0.000 2.589 0.000
0.000 0.000 2.589
2.589 0.000 0.000
```

Properties
Electronic total energy = -3.221 eV per atom
Space group = Pm-3m
Density = 6.81 g/cm3
Crystal system = cubic
Distance to the lowest polymorph of the same formula = 1.404 eV/atom
Energy relative to the elements = 1.6907 eV/atom

No. 9
Entry from Alexandria: an optimized crystal structure of Na2SnOs (PBE-GGA).

Geometry as POSCAR:
```
Na2SnOs
1.0
-7.854 -2.645 1.452
1.512 0.055 8.277
-3.987 1.201 4.997
Na Os Sn
4 2 2
Cartesian
-5.908 -1.410 3.227
-0.842 0.069 6.568
-5.406 -0.072 7.194
-8.503 -1.364 12.462
0.000 0.000 0.000
-7.506 -1.369 5.657
-3.171 -1.295 4.864
-2.823 -0.019 9.069
```

Properties
Electronic total energy = -3.651 eV per atom
Space group = I-42d
Density = 6.33 g/cm3
Crystal system = tetragonal
Energy relative to the elements = 0.8168 eV/atom

No. 10
Entry from Alexandria: an optimized crystal structure of NaSn3Os (PBE-GGA).

Geometry as POSCAR:
```
NaSn3Os
1.0
-0.681 1.520 -4.952
4.795 -1.704 -1.182
-1.959 -4.700 -1.173
Na Os Sn
1 1 3
Cartesian
1.077 -2.442 -3.654
0.000 0.000 0.000
2.398 -0.852 -0.591
-0.980 -2.350 -0.586
-0.341 0.760 -2.476
```

Properties
Electronic total energy = -4.625 eV per atom
Space group = Pm-3m
Density = 6.63 g/cm3
Crystal system = cubic
Distance to the lowest polymorph of the same formula = 0.000 eV/atom
Energy relative to the elements = 0.2869 eV/atom

No. 11
Entry from Alexandria: an optimized crystal structure of NaSn2Os (PBE-GGA).

Geometry as POSCAR:
```
NaSn2Os
1.0
0.000 3.364 3.364
3.364 0.000 3.364
3.364 3.364 0.000
Na Os Sn
1 1 2
Cartesian
0.000 0.000 0.000
3.364 3.364 3.364
1.682 1.682 1.682
5.047 5.047 5.047
```

Properties
Electronic total energy = -4.911 eV per atom
Space group = Fm-3m
Density = 9.82 g/cm3
Crystal system = cubic
Energy relative to the elements = 0.2277 eV/atom

No. 12
Entry from Alexandria: an optimized crystal structure of Na2SrOs (PBE-GGA).

Geometry as POSCAR:
```
Na2SrOs
1.0
4.367 0.000 0.000
0.000 4.367 0.000
2.183 2.183 11.648
Sr Os Na
2 2 4
Cartesian
2.183 2.183 0.000
2.183 4.367 5.824
0.000 0.000 0.000
4.367 2.183 5.824
3.452 1.092 2.912
0.915 3.275 2.912
3.275 3.098 8.736
5.459 5.636 8.736
```

Properties
Electronic total energy = -2.924 eV per atom
Space group = I-42d
Density = 4.84 g/cm3
Crystal system = tetragonal
Distance to the lowest polymorph of the same formula = 0.013 eV/atom
Energy relative to the elements = 0.9637 eV/atom

Question: density of number 9 (Na2SnOs)?
Answer: 6.33 g/cm3